First-principles (PBE-GGA) data for a geometry-optimized KAgHg2Te structure, as listed in Alexandria.

The structure belongs to space group P4/mmm (No. 123); the cell edges are 5.5487, 5.5487 and 5.6974 Å and the angles 90.00°, 90.00° and 90.00°. The distinct sites, in fractional coordinates, are K at (0.0000, 0.0000, 0.0000), Ag at (0.5000, 0.5000, 0.5000), Hg at (0.0000, 0.5000, 0.5000) and Te at (0.5000, 0.5000, 0.0000).

Its formation energy from raw total energies is -1.2 eV per formula unit.

First-principles (PBE-GGA) data for a geometry-optimized KTl2AgHg structure, as listed in Alexandria.

The structure belongs to space group P4/mmm (No. 123); the cell edges are 5.4674, 5.4674 and 6.3638 Å and the angles 90.00°, 90.00° and 90.00°. The distinct sites, in fractional coordinates, are K at (0.0000, 0.0000, 0.0000), Tl at (0.0000, 0.5000, 0.5000), Ag at (0.0000, 0.0000, 0.5000) and Hg at (0.5000, 0.5000, 0.0000).

Its polymorph energy (0 for the lowest one) is 62.5 meV per atom. For the formation energy, the calculation gives 0.115 eV per atom.

First-principles (PBE-GGA) data for a geometry-optimized K2TlAgHg6 structure, as listed in Alexandria.

The structure belongs to space group P-1 (No. 2); the cell edges are 6.0216, 7.5589 and 7.7055 Å and the angles 83.68°, 72.29° and 73.17°. The distinct sites, in fractional coordinates, are K at (0.0164, 0.2540, 0.2710), Tl at (0.5000, 0.5000, 0.0000), Ag at (0.5000, 0.0000, 0.5000), Hg at (0.0040, 0.2437, 0.7484), Hg at (0.3592, 0.9329, 0.8971) and Hg at (0.4986, 0.6630, 0.3575).

For the formation energy, the calculation gives -0.112 eV per atom.

First-principles (PBE-GGA) data for a geometry-optimized KTl2AgHg structure, as listed in Alexandria.

The structure belongs to space group P4/mmm (No. 123); the cell edges are 5.6039, 5.6039 and 5.5360 Å and the angles 90.00°, 90.00° and 90.00°. The distinct sites, in fractional coordinates, are K at (0.0000, 0.0000, 0.0000), Tl at (0.0000, 0.5000, 0.5000), Ag at (0.5000, 0.5000, 0.5000) and Hg at (0.5000, 0.5000, 0.0000).

Its polymorph energy (0 for the lowest one) is 0.0 meV per atom. For the formation energy, the calculation gives 0.052 eV per atom.

First-principles (PBE-GGA) data for a geometry-optimized KV2AgHg structure, as listed in Alexandria.

The structure belongs to space group P4/mmm (No. 123); the cell edges are 5.2876, 5.2876 and 5.2924 Å and the angles 90.00°, 90.00° and 90.00°. The distinct sites, in fractional coordinates, are K at (0.0000, 0.0000, 0.0000), V at (0.0000, 0.5000, 0.0000), Ag at (0.0000, 0.0000, 0.5000) and Hg at (0.5000, 0.5000, 0.5000).

For the formation energy, the calculation gives 2.026 eV per atom.

First-principles (PBE-GGA) data for a geometry-optimized KZn2AgHg structure, as listed in Alexandria.

The structure belongs to space group P4/mmm (No. 123); the cell edges are 5.0847, 5.0847 and 5.5217 Å and the angles 90.00°, 90.00° and 90.00°. The distinct sites, in fractional coordinates, are K at (0.0000, 0.0000, 0.0000), Zn at (0.0000, 0.5000, 0.5000), Ag at (0.5000, 0.5000, 0.5000) and Hg at (0.5000, 0.5000, 0.0000).

For the formation energy, the calculation gives 0.082 eV per atom.

First-principles (PBE-GGA) data for a geometry-optimized KZnAg2Hg structure, as listed in Alexandria.

The structure belongs to space group P4/mmm (No. 123); the cell edges are 5.1436, 5.1436 and 5.1957 Å and the angles 90.00°, 90.00° and 90.00°. The distinct sites, in fractional coordinates, are K at (0.0000, 0.0000, 0.0000), Zn at (0.5000, 0.5000, 0.5000), Ag at (0.0000, 0.5000, 0.5000) and Hg at (0.5000, 0.5000, 0.0000).

For the formation energy, the calculation gives 0.071 eV per atom.

First-principles (PBE-GGA) data for a geometry-optimized LaAgHg4 structure, as listed in Alexandria.

The structure belongs to space group F-43m (No. 216); the cell edges are 8.4736, 8.4736 and 8.4736 Å and the angles 90.00°, 90.00° and 90.00°. The distinct sites, in fractional coordinates, are La at (0.0000, 0.0000, 0.0000), Ag at (0.2500, 0.2500, 0.7500) and Hg at (0.1246, 0.1246, 0.3754).

Its polymorph energy (0 for the lowest one) is 138.9 meV per atom. For the formation energy, the calculation gives -0.101 eV per atom.

First-principles (PBE-GGA) data for a geometry-optimized LaAgHg6 structure, as listed in Alexandria.

The structure belongs to space group R-3m (No. 166, hexagonal axes); the cell edges are 6.2275, 6.2275 and 23.8773 Å and the angles 90.00°, 90.00° and 120.00°. The distinct sites, in fractional coordinates, are La at (0.0000, 0.0000, 0.0000), Ag at (0.0000, 0.0000, 0.5000) and Hg at (0.0119, 0.5059, 0.4381).

Its polymorph energy (0 for the lowest one) is 286.4 meV per atom. For the formation energy, the calculation gives 0.130 eV per atom.

First-principles (PBE-GGA) data for a geometry-optimized LaAg2Hg4 structure, as listed in Alexandria.

The structure belongs to space group R-3m (No. 166, hexagonal axes); the cell edges are 5.0049, 5.0049 and 24.1155 Å and the angles 90.00°, 90.00° and 120.00°. The distinct sites, in fractional coordinates, are La at (0.0000, 0.0000, 0.0000), Ag at (0.0000, 0.0000, 0.2567), Hg at (0.0000, 0.0000, 0.1352) and Hg at (0.0000, 0.0000, 0.3998).

Its polymorph energy (0 for the lowest one) is 0.0 meV per atom. For the formation energy, the calculation gives -0.216 eV per atom.

First-principles (PBE-GGA) data for a geometry-optimized La3Ag3Hg2 structure, as listed in Alexandria.

The structure belongs to space group Cmcm (No. 63); the cell edges are 4.8804, 11.3567 and 15.5338 Å and the angles 90.00°, 90.00° and 90.00°. The distinct sites, in fractional coordinates, are La at (0.0000, 0.0883, 0.1007), La at (0.0000, 0.3530, 0.2500), Ag at (0.0000, 0.3678, 0.7500), Ag at (0.0000, 0.3926, 0.0433) and Hg at (0.0000, 0.2071, 0.6047).

For the formation energy, the calculation gives -0.341 eV per atom.

First-principles (PBE-GGA) data for a geometry-optimized La6AgHg3 structure, as listed in Alexandria.

The structure belongs to space group P2_1/m (No. 11); the cell edges are 9.5419, 5.5064 and 12.1557 Å and the angles 90.00°, 107.79° and 90.00°. The distinct sites, in fractional coordinates, are La at (0.0208, 0.2500, 0.4095), La at (0.1560, 0.7500, 0.1803), La at (0.2499, 0.2500, 0.0001), La at (0.3533, 0.7500, 0.8220), La at (0.3786, 0.2500, 0.3562), La at (0.4104, 0.2500, 0.6227), Ag at (0.4503, 0.7500, 0.1021), Hg at (0.0320, 0.7500, 0.8780), Hg at (0.1245, 0.2500, 0.7162) and Hg at (0.2640, 0.7500, 0.4712).

For the formation energy, the calculation gives -0.323 eV per atom.

First-principles (PBE-GGA) data for a geometry-optimized LaAg2Hg6 structure, as listed in Alexandria.

The structure belongs to space group C2/m (No. 12); the cell edges are 14.8618, 8.7726 and 3.4572 Å and the angles 90.00°, 103.20° and 90.00°. The distinct sites, in fractional coordinates, are La at (0.0000, 0.0000, 0.0000), Ag at (0.1417, 0.5000, 0.1376), Hg at (0.0000, 0.3328, 0.5000) and Hg at (0.1792, 0.1717, 0.6815).

For the formation energy, the calculation gives -0.072 eV per atom.